The following is a DFT calculation (meta-GGA SCAN) of a PBEsol-optimized structure of TlCrTc.

a = 3.0205 Å, b = 3.0205 Å, c = 6.4608 Å
α = 90.00°, β = 90.00°, γ = 120.00°
Element x y z (fractional)
Cr (0.0000, 0.0000, 0.9520)
Tc (0.3333, 0.6667, 0.7210)
Tl (0.6667, 0.3333, 0.3270)

Properties
The volume comes out at 17.0 Å³/atom. For the energy above the lowest structure with this stoichiometry, the calculation gives 0 meV/atom. For the formation energy, the calculation gives 0.57 eV/atom. The total magnetization is 0.000 μB/atom.

***

The following is a DFT calculation (meta-GGA SCAN) of a PBEsol-optimized structure of TaCdNi.

a = 2.8688 Å, b = 2.8688 Å, c = 6.0629 Å
α = 103.71°, β = 103.71°, γ = 89.89°
Element x y z (fractional)
Cd (0.0134, 0.0134, 0.0267)
Ni (0.6743, 0.6743, 0.3485)
Ta (0.3124, 0.3124, 0.6247)

Properties
The volume comes out at 15.7 Å³/atom. For the formation energy, the calculation gives 0.06 eV/atom. The total magnetization is 0.000 μB/atom.

***

The following is a DFT calculation (meta-GGA SCAN) of a PBEsol-optimized structure of LaAgHg2.

a = 3.5703 Å, b = 3.8189 Å, c = 6.9577 Å
α = 90.00°, β = 90.00°, γ = 90.00°
Element x y z (fractional)
Hg (0.0000, 0.0000, 0.9836)
Hg (0.5000, 0.5000, 0.2260)
Ag (0.5000, 0.5000, 0.7829)
La (0.0000, 0.0000, 0.5075)

Properties
The volume comes out at 23.7 Å³/atom. For the formation energy, the calculation gives -0.30 eV/atom. The total magnetization is 0.063 μB/atom.

***

The following is a DFT calculation (meta-GGA SCAN) of a PBEsol-optimized structure of ZrSc2FeCu.

a = 4.7406 Å, b = 4.7406 Å, c = 4.9117 Å
α = 90.00°, β = 90.00°, γ = 90.00°
Element x y z (fractional)
Sc (0.0000, 0.5000, 0.0000)
Sc (0.5000, 0.0000, 0.0000)
Cu (0.0000, 0.0000, 0.0000)
Zr (0.0000, 0.0000, 0.5000)
Fe (0.5000, 0.5000, 0.5000)

Properties
The volume comes out at 22.1 Å³/atom. For the formation energy, the calculation gives 0.58 eV/atom. The total magnetization is 0.344 μB/atom.

***

The following is a DFT calculation (meta-GGA SCAN) of a PBEsol-optimized structure of AlAsP2.

a = 4.4480 Å, b = 4.4480 Å, c = 4.4480 Å
α = 60.00°, β = 60.00°, γ = 60.00°
Element x y z (fractional)
P (0.2500, 0.2500, 0.2500)
P (0.7500, 0.7500, 0.7500)
As (0.0000, 0.0000, 0.0000)
Al (0.5000, 0.5000, 0.5000)

Properties
The volume comes out at 15.6 Å³/atom. For the energy above the lowest structure with this stoichiometry, the calculation gives 469 meV/atom. For the formation energy, the calculation gives 0.46 eV/atom. The total magnetization is 0.000 μB/atom.

***

The following is a DFT calculation (meta-GGA SCAN) of a PBEsol-optimized structure of Al2SiAg7.

a = 6.7939 Å, b = 6.8895 Å, c = 6.8908 Å
α = 90.00°, β = 90.00°, γ = 90.74°
Element x y z (fractional)
Si (0.0595, 0.3106, 0.5599)
Si (0.9405, 0.6894, 0.0599)
Al (0.8092, 0.4404, 0.8095)
Al (0.1908, 0.5596, 0.3095)
Al (0.6892, 0.9372, 0.1865)
Al (0.3108, 0.0628, 0.6865)
Ag (0.2961, 0.8740, 0.0431)
Ag (0.3701, 0.2076, 0.2974)
Ag (0.0416, 0.9521, 0.3805)
Ag (0.7039, 0.1260, 0.5431)
Ag (0.6299, 0.7924, 0.7974)
Ag (0.9584, 0.0479, 0.8805)
Ag (0.2009, 0.3813, 0.9541)
Ag (0.1216, 0.7055, 0.7047)
Ag (0.4522, 0.4508, 0.6289)
Ag (0.7991, 0.6187, 0.4541)
Ag (0.8784, 0.2945, 0.2047)
Ag (0.5478, 0.5492, 0.1289)
Ag (0.4343, 0.8158, 0.4354)
Ag (0.5657, 0.1842, 0.9354)

Properties
The volume comes out at 16.1 Å³/atom. The total magnetization is 0.000 μB/atom. Its energy relative to the elements, uncorrected is -0.5 kJ per mole of atoms.